(1)
Compound: SnH2Se
Source: Alexandria
Functional: PBE
Structure: relaxed

Output
E above lowest polymorph: 577 meV/atom

Lattice parameters (Å, degrees): 4.118 4.118 13.620 90.00 90.00 90.00
Space group I-42d (No. 122)
Symmetry-distinct sites (fractional):
1 Sn 0.000 0.000 0.000 x4
2 H 0.077 0.250 0.125 x8
3 Se 0.000 0.000 0.500 x4


(2)
Compound: LuPaIn
Source: Alexandria
Functional: PBE
Structure: relaxed

Output
E above lowest polymorph: 0 meV/atom
Formation energy from the elements: -59 meV per atom

Lattice parameters (Å, degrees): 3.215 3.215 14.907 90.00 90.00 90.00
Space group I4mm (No. 107)
Symmetry-distinct sites (fractional):
1 Lu 0.000 0.000 0.000 x2
2 Pa 0.000 0.000 0.672 x2
3 In 0.000 0.000 0.338 x2


(3)
Compound: Sc4TlP
Source: Alexandria
Functional: PBE
Structure: relaxed

Output
E above lowest polymorph: 0 meV/atom
Formation energy from the elements: -510 meV per atom

Lattice parameters (Å, degrees): 14.906 5.813 6.620 90.00 105.63 90.00
Space group C2/c (No. 15)
Symmetry-distinct sites (fractional):
1 Sc 0.088 0.091 0.443 x8
2 Sc 0.178 0.403 0.135 x8
3 Tl 0.000 0.396 0.750 x4
4 P 0.250 0.250 0.500 x4


(4)
Compound: La2NbS
Source: Alexandria
Functional: PBE
Structure: relaxed

Lattice parameters (Å, degrees): 8.051 8.051 6.640 90.00 90.00 90.00
Space group I-42d (No. 122)
Symmetry-distinct sites (fractional):
1 La 0.228 0.250 0.125 x8
2 Nb 0.000 0.000 0.500 x4
3 S 0.000 0.000 0.000 x4


(5)
Compound: Sn2TePd4
Source: Alexandria
Functional: PBE
Structure: relaxed

Output
E above lowest polymorph: 513 meV/atom

Lattice parameters (Å, degrees): 5.053 5.053 13.494 90.00 90.00 90.00
Space group I4/mmm (No. 139)
Symmetry-distinct sites (fractional):
1 Sn 0.000 0.000 0.119 x4
2 Te 0.000 0.000 0.500 x2
3 Pd 0.000 0.000 0.310 x4
4 Pd 0.000 0.500 0.000 x4


(6)
Compound: Tl2Pd3Au
Source: Alexandria
Functional: PBE
Structure: relaxed

Output
E above lowest polymorph: 80 meV/atom
Formation energy from the elements: 1 meV per atom

Lattice parameters (Å, degrees): 9.001 9.001 11.861 90.00 90.00 90.00
Space group I4_1/amd (No. 141, origin choice 2)
Symmetry-distinct sites (fractional):
1 Tl 0.000 0.064 0.265 x16
2 Pd 0.000 0.000 0.500 x8
3 Pd 0.221 0.029 0.875 x16
4 Au 0.000 0.250 0.758 x8


(7)
Compound: BaPuSn
Source: Alexandria
Functional: PBE
Structure: relaxed

Output
E above lowest polymorph: 105 meV/atom
Formation energy from the elements: 93 meV per atom

Lattice parameters (Å, degrees): 18.523 3.515 6.105 90.00 90.91 90.00
Space group C2/m (No. 12)
Symmetry-distinct sites (fractional):
1 Ba 0.105 0.000 0.156 x4
2 Pu 0.226 0.500 0.591 x4
3 Sn 0.060 0.500 0.660 x4


(8)
Compound: ZnCdGa4S8
Source: Alexandria
Functional: PBE
Structure: relaxed

Lattice parameters (Å, degrees): 5.484 5.484 10.459 90.00 90.00 90.00
Space group P-4 (No. 81)
Symmetry-distinct sites (fractional):
1 Zn 0.000 0.000 0.000 x1
2 Cd 0.500 0.500 0.500 x1
3 Ga 0.000 0.000 0.500 x1
4 Ga 0.000 0.500 0.246 x2
5 Ga 0.500 0.500 0.000 x1
6 S 0.229 0.235 0.639 x4
7 S 0.255 0.742 0.872 x4


(9)
Compound: Y3SbP2
Source: Alexandria
Functional: PBE
Structure: relaxed

Lattice parameters (Å, degrees): 4.944 12.352 9.756 90.00 90.00 90.00
Space group Cmcm (No. 63)
Symmetry-distinct sites (fractional):
1 Y 0.000 0.095 0.250 x4
2 Y 0.000 0.374 0.050 x8
3 Sb 0.000 0.225 0.750 x4
4 P 0.000 0.000 0.000 x4
5 P 0.000 0.470 0.750 x4


(10)
Compound: NaReS2Cl
Source: Alexandria
Functional: PBE
Structure: relaxed

Output
E above lowest polymorph: 1695 meV/atom

Lattice parameters (Å, degrees): 4.975 4.975 4.713 90.00 90.00 90.00
Space group P4/mmm (No. 123)
Symmetry-distinct sites (fractional):
1 Na 0.000 0.000 0.000 x1
2 Re 0.500 0.500 0.500 x1
3 S 0.000 0.500 0.000 x2
4 Cl 0.000 0.000 0.500 x1


(11)
Compound: NaYSn2S4
Source: Alexandria
Functional: PBE
Structure: relaxed

Lattice parameters (Å, degrees): 6.989 4.060 7.125 90.00 108.35 90.00
Space group P2/m (No. 10)
Symmetry-distinct sites (fractional):
1 Na 0.000 0.000 0.000 x1
2 Y 0.500 0.500 0.000 x1
3 Sn 0.000 0.500 0.500 x1
4 Sn 0.500 0.000 0.500 x1
5 S 0.261 0.500 0.242 x2
6 S 0.265 0.000 0.767 x2


(12)
Compound: Nb14ZnMo
Source: Alexandria
Functional: PBE
Structure: relaxed

Output
Formation energy from the elements: -26 meV per atom

Lattice parameters (Å, degrees): 6.585 6.585 6.624 90.00 90.00 90.00
Space group P4/mmm (No. 123)
Symmetry-distinct sites (fractional):
1 Nb 0.000 0.000 0.000 x1
2 Nb 0.000 0.500 0.000 x2
3 Nb 0.000 0.500 0.500 x2
4 Nb 0.246 0.246 0.251 x8
5 Nb 0.500 0.500 0.000 x1
6 Zn 0.500 0.500 0.500 x1
7 Mo 0.000 0.000 0.500 x1


We obtain electronic total energy values of -0.116 -0.207 -0.221 -0.224 -0.164 -0.144 -0.245 -0.150 -0.248 -0.127 -0.187 -0.353 hartree per atom for the records listed above, in that order.